1.
This record from Alexandria via LeMat-Bulk describes Cs2RbTeF6 after structural relaxation. The functional is PBE.

a b c (Å): 6.9572 6.9572 6.9572
angles (deg): 118.52 118.52 92.59
With the nearest neighbours (Å) after each atom.
Fractional positions:
Cs: 0.2500 0.7500 0.5000  12 F 3.48-3.57
Cs: 0.7500 0.2500 0.5000  12 F 3.48-3.57
Rb: 0.0000 0.0000 0.0000  6 F 2.69-2.70
Te: 0.5000 0.5000 0.0000  6 F 2.11-2.33
F: 0.2680 0.2680 0.5360  1 Te 2.33
F: 0.2680 0.7320 0.0000  1 Te 2.33
F: 0.2802 0.2802 0.0000  1 Te 2.11
F: 0.7198 0.7198 0.0000  1 Te 2.11
F: 0.7320 0.2680 0.0000  1 Te 2.33
F: 0.7320 0.7320 0.4640  1 Te 2.33

Output
Total magnetic moment ... 0.10 μB/atom
Energy relative to the elements, uncorrected ... -2.299 eV per atom
Crystal system ... tetragonal
Energy above the most stable polymorph in this dataset ... 0.82 kcal/mol of atoms

2.
This record from Alexandria via LeMat-Bulk describes Cs2RbTeF6 after structural relaxation. The functional is PBE.

a b c (Å): 11.9031 11.9031 11.9031
angles (deg): 35.85 35.85 35.85
With the nearest neighbours (Å) after each atom.
Fractional positions:
Cs: 0.1332 0.1332 0.1332  3 F 2.91
Cs: 0.2530 0.2530 0.2530  3 F 2.81
Cs: 0.7470 0.7470 0.7470  3 F 2.81
Cs: 0.8668 0.8668 0.8668  3 F 2.91
Rb: 0.4008 0.4008 0.4008  3 F 2.73
Rb: 0.5992 0.5992 0.5992  3 F 2.73
Te: 0.0000 0.0000 0.0000  6 F 2.10
Te: 0.5000 0.5000 0.5000  6 F 2.38
F: 0.1272 0.6437 0.6437  1 Te 2.38
F: 0.1706 0.1706 0.7696  1 Te 2.10
F: 0.1706 0.7696 0.1706  1 Te 2.10
F: 0.2304 0.8294 0.8294  1 Te 2.10
F: 0.3563 0.3563 0.8728  1 Te 2.38
F: 0.3563 0.8728 0.3563  1 Te 2.38
F: 0.6437 0.1272 0.6437  1 Te 2.38
F: 0.6437 0.6437 0.1272  1 Te 2.38
F: 0.7696 0.1706 0.1706  1 Te 2.10
F: 0.8294 0.2304 0.8294  1 Te 2.10
F: 0.8294 0.8294 0.2304  1 Te 2.10
F: 0.8728 0.3563 0.3563  1 Te 2.38

Output
Total magnetic moment ... 0.00 μB/atom
Energy relative to the elements, uncorrected ... -2.334 eV per atom
Crystal system ... trigonal
Energy above the most stable polymorph in this dataset ... 0.00 kcal/mol of atoms

3.
This record from Alexandria via LeMat-Bulk describes CsRb12Te4F3 after structural relaxation. The functional is PBE.

a b c (Å): 10.3952 10.3952 10.3952
angles (deg): 109.47 109.47 109.47
With the nearest neighbours (Å) after each atom.
Fractional positions:
Cs: 0.0000 0.0000 0.0000  6 Rb 3.45
Rb: 0.0000 0.2873 0.2873  1 F 2.55
Rb: 0.0000 0.7127 0.7127  1 F 2.55
Rb: 0.2500 0.5000 0.7500  2 F 3.00
Rb: 0.2500 0.7500 0.5000  2 F 3.00
Rb: 0.2873 0.0000 0.2873  1 F 2.55
Rb: 0.2873 0.2873 0.0000  1 F 2.55
Rb: 0.5000 0.2500 0.7500  2 F 3.00
Rb: 0.5000 0.7500 0.2500  2 F 3.00
Rb: 0.7127 0.0000 0.7127  1 F 2.55
Rb: 0.7127 0.7127 0.0000  1 F 2.55
Rb: 0.7500 0.2500 0.5000  2 F 3.00
Rb: 0.7500 0.5000 0.2500  2 F 3.00
Te: 0.0000 0.0000 0.5000  12 Rb 4.24-4.27
Te: 0.0000 0.5000 0.0000  12 Rb 4.24-4.27
Te: 0.5000 0.0000 0.0000  12 Rb 4.24-4.27
Te: 0.5000 0.5000 0.5000  12 Rb 4.24-4.27
F: 0.0000 0.5000 0.5000  2 Rb 2.55
F: 0.5000 0.0000 0.5000  2 Rb 2.55
F: 0.5000 0.5000 0.0000  2 Rb 2.55

Output
Total magnetic moment ... 0.00 μB/atom
Energy relative to the elements, uncorrected ... -1.158 eV per atom
Crystal system ... cubic

4.
This record from Alexandria via LeMat-Bulk describes Cs2RbTi3F12 after structural relaxation. The functional is PBE.

a b c (Å): 7.7521 7.7521 7.7521
angles (deg): 60.11 60.11 60.11
With the nearest neighbours (Å) after each atom.
Fractional positions:
Cs: 0.1139 0.1139 0.1139  6 F 3.00-3.34
Cs: 0.8861 0.8861 0.8861  6 F 3.00-3.34
Rb: 0.5000 0.5000 0.5000  6 F 2.84
Ti: 0.0000 0.5000 0.5000  6 F 1.90-2.05
Ti: 0.5000 0.0000 0.5000  6 F 1.90-2.05
Ti: 0.5000 0.5000 0.0000  6 F 1.90-2.05
F: 0.0563 0.6205 0.6205  1 Ti 1.90
F: 0.2198 0.2198 0.6044  2 Ti 2.05
F: 0.2198 0.6044 0.2198  2 Ti 2.05
F: 0.3795 0.3795 0.9437  1 Ti 1.90
F: 0.3795 0.9437 0.3795  1 Ti 1.90
F: 0.3956 0.7802 0.7802  2 Ti 2.05
F: 0.6044 0.2198 0.2198  2 Ti 2.05
F: 0.6205 0.0563 0.6205  1 Ti 1.90
F: 0.6205 0.6205 0.0563  1 Ti 1.90
F: 0.7802 0.3956 0.7802  2 Ti 2.05
F: 0.7802 0.7802 0.3956  2 Ti 2.05
F: 0.9437 0.3795 0.3795  1 Ti 1.90

Output
Total magnetic moment ... 0.17 μB/atom
Energy relative to the elements, uncorrected ... -3.218 eV per atom
Crystal system ... trigonal

5.
This record from Alexandria via LeMat-Bulk describes Cs2RbTlF6 after structural relaxation. The functional is PBE.

a b c (Å): 6.9066 6.9066 6.9066
angles (deg): 60.00 60.00 60.00
With the nearest neighbours (Å) after each atom.
Fractional positions:
Cs: 0.2500 0.2500 0.2500  12 F 3.46
Cs: 0.7500 0.7500 0.7500  12 F 3.46
Rb: 0.0000 0.0000 0.0000  6 F 2.68
Tl: 0.5000 0.5000 0.5000  6 F 2.20
F: 0.2747 0.2747 0.7253  1 Tl 2.20
F: 0.2747 0.7253 0.2747  1 Tl 2.20
F: 0.2747 0.7253 0.7253  1 Tl 2.20
F: 0.7253 0.2747 0.2747  1 Tl 2.20
F: 0.7253 0.2747 0.7253  1 Tl 2.20
F: 0.7253 0.7253 0.2747  1 Tl 2.20

Output
Total magnetic moment ... 0.00 μB/atom
Energy relative to the elements, uncorrected ... -2.463 eV per atom
Crystal system ... cubic

6.
This record from Alexandria via LeMat-Bulk describes Cs3Rb2TlF6 after structural relaxation. The functional is PBE.

a b c (Å): 9.3442 9.3442 8.3651
angles (deg): 103.06 103.06 25.83
With the nearest neighbours (Å) after each atom.
Fractional positions:
Cs: 0.0000 0.0000 0.0000  6 F 3.01-3.03
Cs: 0.3340 0.3340 0.6659  6 F 3.00-3.04
Cs: 0.6660 0.6660 0.3341  6 F 3.00-3.04
Rb: 0.3336 0.3336 0.1675  6 F 2.89-2.91
Rb: 0.6664 0.6664 0.8325  6 F 2.89-2.91
Tl: 0.0000 0.0000 0.5000  6 F 2.88-2.89
F: 0.1624 0.1624 0.5913  1 Tl 2.88, 2 Rb 2.89, 3 Cs 3.01-3.04
F: 0.1696 0.1696 0.0753  3 Rb 2.90-2.91, 3 Cs 3.01-3.02
F: 0.4966 0.4966 0.2599  2 Tl 2.89, 1 Rb 2.89, 3 Cs 3.00-3.03
F: 0.5034 0.5034 0.7401  2 Tl 2.89, 1 Rb 2.89, 3 Cs 3.00-3.03
F: 0.8304 0.8304 0.9247  3 Rb 2.90-2.91, 3 Cs 3.01-3.02
F: 0.8376 0.8376 0.4087  1 Tl 2.88, 2 Rb 2.89, 3 Cs 3.01-3.04

Output
Total magnetic moment ... 0.00 μB/atom
Energy relative to the elements, uncorrected ... -2.497 eV per atom
Crystal system ... monoclinic

7.
This record from Alexandria via LeMat-Bulk describes CsRbTl2F4 after structural relaxation. The functional is PBE.

a b c (Å): 7.1007 4.0980 7.1169
angles (deg): 90.00 109.41 90.00
With the nearest neighbours (Å) after each atom.
Fractional positions:
Cs: 0.0000 0.0000 0.0000  6 F 2.96-2.97
Rb: 0.5000 0.5000 0.0000  6 F 2.90
Tl: 0.0000 0.5000 0.5000  6 F 2.90
Tl: 0.5000 0.0000 0.5000  6 F 2.84
F: 0.2553 0.0000 0.7449  3 Tl 2.84-2.90, 2 Rb 2.90, 1 Cs 2.96
F: 0.2615 0.5000 0.2614  3 Tl 2.84-2.90, 1 Rb 2.90, 2 Cs 2.97
F: 0.7385 0.5000 0.7386  3 Tl 2.84-2.90, 1 Rb 2.90, 2 Cs 2.97
F: 0.7447 0.0000 0.2551  3 Tl 2.84-2.90, 2 Rb 2.90, 1 Cs 2.96

Output
Total magnetic moment ... 0.00 μB/atom
Energy relative to the elements, uncorrected ... -2.183 eV per atom
Crystal system ... monoclinic

8.
This record from Alexandria via LeMat-Bulk describes Cs2RbTl3F6 after structural relaxation. The functional is PBE.

a b c (Å): 9.3048 9.3048 8.2465
angles (deg): 102.27 102.27 25.51
With the nearest neighbours (Å) after each atom.
Fractional positions:
Cs: 0.1686 0.1686 0.3214  6 F 2.99-3.11
Cs: 0.8314 0.8314 0.6786  6 F 2.99-3.11
Rb: 0.5000 0.5000 0.0000  6 F 2.76-2.90
Tl: 0.1577 0.1577 0.8277  5 F 2.67-2.91
Tl: 0.5000 0.5000 0.5000  6 F 2.81-2.92
Tl: 0.8423 0.8423 0.1723  5 F 2.67-2.91
F: 0.0070 0.0070 0.7553  3 Tl 2.67-2.92, 2 Rb 2.90
F: 0.3411 0.3411 0.4214  3 Tl 2.81-2.91, 3 Cs 2.99-3.06
F: 0.3444 0.3444 0.9479  1 Rb 2.76, 2 Tl 2.77, 2 Cs 3.00
F: 0.6556 0.6556 0.0521  1 Rb 2.76, 2 Tl 2.77, 2 Cs 3.00
F: 0.6589 0.6589 0.5786  3 Tl 2.81-2.91, 3 Cs 2.99-3.06
F: 0.9930 0.9930 0.2447  3 Tl 2.67-2.92, 2 Rb 2.90

Output
Total magnetic moment ... 0.00 μB/atom
Energy relative to the elements, uncorrected ... -2.185 eV per atom
Crystal system ... monoclinic

9.
This record from Alexandria via LeMat-Bulk describes CsRbTlF6 after structural relaxation. The functional is PBE.

a b c (Å): 8.1417 8.1417 8.1417
angles (deg): 119.13 115.94 94.35
With the nearest neighbours (Å) after each atom.
Fractional positions:
Cs: 0.4094 0.1594 0.2500  5 F 2.87-3.19
Cs: 0.5906 0.8406 0.7500  5 F 2.87-3.19
Rb: 0.0000 0.0000 0.5000  8 F 2.65-2.95
Rb: 0.0000 0.5000 0.0000  8 F 2.65-2.95
Tl: 0.0000 0.5000 0.5000  6 F 2.12-2.29
Tl: 0.5000 0.5000 0.0000  6 F 2.12-2.29
F: 0.1503 0.9003 0.2500  2 Rb 2.65, 1 Cs 2.87
F: 0.1812 0.4312 0.7500  2 Tl 2.29
F: 0.1818 0.4546 0.3709  1 Tl 2.12
F: 0.1818 0.8109 0.7272  1 Tl 2.12
F: 0.4163 0.1891 0.8709  1 Tl 2.12
F: 0.4163 0.5454 0.2272  1 Tl 2.12
F: 0.5837 0.4546 0.7728  1 Tl 2.12
F: 0.5837 0.8109 0.1291  1 Tl 2.12
F: 0.8182 0.1891 0.2728  1 Tl 2.12
F: 0.8182 0.5454 0.6291  1 Tl 2.12
F: 0.8188 0.5688 0.2500  2 Tl 2.29
F: 0.8497 0.0997 0.7500  2 Rb 2.65, 1 Cs 2.87

Output
Total magnetic moment ... 0.11 μB/atom
Energy relative to the elements, uncorrected ... -2.064 eV per atom
Crystal system ... orthorhombic

10.
This record from Alexandria via LeMat-Bulk describes CsRb2TlF after structural relaxation. The functional is PBE.

a b c (Å): 5.8659 5.8659 6.1516
angles (deg): 90.00 90.00 90.00
With the nearest neighbours (Å) after each atom.
Fractional positions:
Cs: 0.0000 0.0000 0.0000  2 F 3.08
Rb: 0.0000 0.5000 0.5000  2 F 2.93
Rb: 0.5000 0.0000 0.5000  2 F 2.93
Tl: 0.5000 0.5000 0.0000  4 Cs 4.15, 8 Rb 4.25
F: 0.0000 0.0000 0.5000  4 Rb 2.93, 2 Cs 3.08

Output
Total magnetic moment ... 0.00 μB/atom
Energy relative to the elements, uncorrected ... -1.005 eV per atom
Crystal system ... tetragonal
Energy above the most stable polymorph in this dataset ... 0.00 kcal/mol of atoms

Which of these has the highest total magnetic moment?
Cs2RbTi3F12

Look up the energy relative to the elements, uncorrected of the second one.
-2.334 eV per atom

Which of these has the lowest energy relative to the elements, uncorrected?
Cs2RbTi3F12

total magnetic moment of number 5 (Cs2RbTlF6)?
0.00 μB/atom